# 1
A plane-wave DFT calculation with SCAN was carried out for ZnCuAg2 at its PBEsol-relaxed geometry.

Structure (extended XYZ):
```
4
Lattice="-0.5916 -2.3503 -1.4325 -0.0248 -2.1487 3.5357 -4.5838 2.2370 1.3273" Properties=species:S:1:pos:R:3 pbc="T T T"
Zn -3.7417 -0.4325 2.1317
Cu -2.4351 0.3895 0.2196
Ag -4.4678 2.0357 1.2058
Ag -1.7271 -2.0744 1.1481
```

Values from the calculation:
M_tot in μB/cell: 0.0
SG: No. 6
Calculated volume in Å³ per cell: 59
Energy relative to the elements in eV per atom: 0.03
Calculated total energy in eV/atom: -22.831

# 2
A plane-wave DFT calculation with SCAN was carried out for ZnCu2Ag at its PBEsol-relaxed geometry.

Structure (extended XYZ):
```
4
Lattice="-0.0730 -2.5139 1.1287 1.3368 -1.7870 -3.8937 3.6975 0.9517 2.3589" Properties=species:S:1:pos:R:3 pbc="T T T"
Zn -0.0365 -1.2570 0.5643
Ag 2.4807 -1.6746 -0.2031
Cu 0.6684 -0.8935 -1.9469
Cu 1.8487 0.4758 1.1794
```

Values from the calculation:
M_tot in μB/cell: 0.0
SG: No. 65
Calculated volume in Å³ per cell: 53
Energy relative to the elements in eV per atom: 0.03
Calculated total energy in eV/atom: -18.786

# 3
A plane-wave DFT calculation with SCAN was carried out for ZnCu2Ag at its PBEsol-relaxed geometry.

Structure (extended XYZ):
```
4
Lattice="2.7347 0.0000 0.0000 0.0000 3.5606 0.0000 0.0000 0.0000 5.4258" Properties=species:S:1:pos:R:3 pbc="T T T"
Zn 0.0000 0.0000 2.6019
Cu 0.0000 0.0000 0.1178
Cu 1.3674 1.7803 1.3293
Ag 1.3674 1.7803 4.0897
```

Values from the calculation:
M_tot in μB/cell: 0.0
SG: No. 25
Calculated volume in Å³ per cell: 53
Energy relative to the elements in eV per atom: 0.02
Calculated total energy in eV/atom: -18.800

# 4
A plane-wave DFT calculation with SCAN was carried out for ZnCuAg2 at its PBEsol-relaxed geometry.

Structure (extended XYZ):
```
4
Lattice="3.9645 0.0000 0.0000 0.0000 3.9645 0.0000 -1.9822 -1.9822 3.7106" Properties=species:S:1:pos:R:3 pbc="T T T"
Zn 0.0000 0.0000 0.0000
Cu 1.9822 1.9822 0.0000
Ag 1.9822 0.0000 1.8553
Ag 0.0000 1.9822 1.8553
```

Values from the calculation:
M_tot in μB/cell: 0.0
SG: No. 139
Calculated volume in Å³ per cell: 58
Energy relative to the elements in eV per atom: 0.04
Calculated total energy in eV/atom: -22.827

# 5
A plane-wave DFT calculation with SCAN was carried out for ZnCuAg2 at its PBEsol-relaxed geometry.

Structure (extended XYZ):
```
4
Lattice="-1.0598 1.0177 -2.4470 1.5650 -3.7107 -2.2211 -4.2410 -1.1477 1.3594" Properties=species:S:1:pos:R:3 pbc="T T T"
Zn -1.8679 -1.9203 -1.6543
Cu -0.5299 0.5089 -1.2235
Ag 0.7825 -1.8553 -1.1106
Ag -2.1205 -0.5738 0.6797
```

Values from the calculation:
M_tot in μB/cell: 0.0
SG: No. 65
Calculated volume in Å³ per cell: 58
Energy relative to the elements in eV per atom: 0.04
Calculated total energy in eV/atom: -22.818

# 6
A plane-wave DFT calculation with SCAN was carried out for Zn2CuAg at its PBEsol-relaxed geometry.

Structure (extended XYZ):
```
4
Lattice="3.0708 0.0000 0.0000 0.0000 4.3016 0.0000 -1.5354 -2.1508 4.1910" Properties=species:S:1:pos:R:3 pbc="T T T"
Zn 1.5354 2.1508 1.9865
Zn 0.0000 0.0000 2.2046
Cu 0.0000 2.1508 0.0000
Ag 1.5354 0.0000 0.0000
```

Values from the calculation:
M_tot in μB/cell: 0.0
SG: No. 71
Calculated volume in Å³ per cell: 55
Energy relative to the elements in eV per atom: 0.00
Calculated total energy in eV/atom: -18.403

# 7
A plane-wave DFT calculation with SCAN was carried out for ZnCu2Ag at its PBEsol-relaxed geometry.

Structure (extended XYZ):
```
4
Lattice="2.8205 0.0000 0.0000 0.0000 2.8205 0.0000 0.0000 0.0000 6.6217" Properties=species:S:1:pos:R:3 pbc="T T T"
Zn 0.0000 0.0000 3.1399
Cu 0.0000 0.0000 0.1712
Cu 1.4102 1.4102 1.6122
Ag 1.4102 1.4102 5.0093
```

Values from the calculation:
M_tot in μB/cell: 0.0
SG: No. 99
Calculated volume in Å³ per cell: 53
Energy relative to the elements in eV per atom: 0.01
Calculated total energy in eV/atom: -18.808

# 8
A plane-wave DFT calculation with SCAN was carried out for Zn2CuAg at its PBEsol-relaxed geometry.

Structure (extended XYZ):
```
4
Lattice="3.7394 0.0000 0.0000 0.0000 3.8398 0.0000 0.0000 0.0000 3.8398" Properties=species:S:1:pos:R:3 pbc="T T T"
Zn 0.0000 0.0000 1.9199
Zn 0.0000 1.9199 0.0000
Cu 1.8697 0.0000 0.0000
Ag 1.8697 1.9199 1.9199
```

Values from the calculation:
M_tot in μB/cell: 0.0
SG: No. 123
Calculated volume in Å³ per cell: 55
Energy relative to the elements in eV per atom: -0.01
Calculated total energy in eV/atom: -18.412

# 9
A plane-wave DFT calculation with SCAN was carried out for ZnCuAg2 at its PBEsol-relaxed geometry.

Structure (extended XYZ):
```
4
Lattice="3.1494 0.0000 0.0000 0.0000 4.2958 0.0000 0.0000 0.0000 4.2958" Properties=species:S:1:pos:R:3 pbc="T T T"
Zn 1.5747 0.0000 0.0000
Cu 1.5747 2.1479 2.1479
Ag 0.0000 0.0000 2.1479
Ag 0.0000 2.1479 0.0000
```

Values from the calculation:
M_tot in μB/cell: 0.0
SG: No. 123
Calculated volume in Å³ per cell: 58
Energy relative to the elements in eV per atom: 0.05
Calculated total energy in eV/atom: -22.812

# 10
A plane-wave DFT calculation with SCAN was carried out for Zn2CuAg at its PBEsol-relaxed geometry.

Structure (extended XYZ):
```
4
Lattice="-1.3957 0.1863 -2.3436 0.9789 -4.4635 0.6569 -4.0065 0.4133 2.4189" Properties=species:S:1:pos:R:3 pbc="T T T"
Zn -3.5104 -1.7213 0.3589
Zn -0.9129 -2.1426 0.3733
Cu -2.0032 0.2066 1.2094
Ag -0.6979 0.0932 -1.1718
```

Values from the calculation:
M_tot in μB/cell: 0.0
SG: No. 12
Calculated volume in Å³ per cell: 55
Energy relative to the elements in eV per atom: -0.01
Calculated total energy in eV/atom: -18.407

# 11
A plane-wave DFT calculation with SCAN was carried out for ZnCuAg2 at its PBEsol-relaxed geometry.

Structure (extended XYZ):
```
4
Lattice="3.1152 0.0000 0.0000 0.0000 4.3154 0.0000 -1.5576 -2.1577 4.3231" Properties=species:S:1:pos:R:3 pbc="T T T"
Zn 0.0000 2.1577 2.0425
Cu 1.5576 2.1577 0.1148
Ag 1.5576 2.1577 4.2289
Ag 1.5576 0.0000 2.2600
```

Values from the calculation:
M_tot in μB/cell: 0.0
SG: No. 44
Calculated volume in Å³ per cell: 58
Energy relative to the elements in eV per atom: 0.03
Calculated total energy in eV/atom: -22.835

# 12
A plane-wave DFT calculation with SCAN was carried out for ZnCuAg2 at its PBEsol-relaxed geometry.

Structure (extended XYZ):
```
4
Lattice="-0.9596 -2.6580 0.1648 1.3367 -0.3292 2.4734 -5.9074 2.3500 3.5054" Properties=species:S:1:pos:R:3 pbc="T T T"
Zn -4.1091 0.2160 3.8693
Cu -3.0534 1.2147 1.8119
Ag -5.8171 2.3141 3.4518
Ag -1.4117 -0.8570 2.2687
```

Values from the calculation:
M_tot in μB/cell: 0.0
SG: No. 99
Calculated volume in Å³ per cell: 58
Energy relative to the elements in eV per atom: 0.00
Calculated total energy in eV/atom: -22.859